(1)
DFT (PBE) results for a geometry-optimized PrLuCoRu structure.

Geometry as CIF:
```
data_PrLuCoRu
_chemical_formula_sum 'Pr1 Lu1 Co1 Ru1'
_symmetry_space_group_name_H-M 'P 1'
_symmetry_Int_Tables_number 1
_symmetry_space_group_name_Hall 'P 1'
_cell_length_a 4.8212
_cell_length_b 4.8212
_cell_length_c 4.8212
_cell_angle_alpha 60.00
_cell_angle_beta 60.00
_cell_angle_gamma 60.00
loop_
_atom_site_label
_atom_site_type_symbol
_atom_site_fract_x
_atom_site_fract_y
_atom_site_fract_z
Ru1 Ru 0.7500 0.7500 0.7500
Lu1 Lu 0.5000 0.5000 0.5000
Pr1 Pr 0.0000 0.0000 0.0000
Co1 Co 0.2500 0.2500 0.2500
```

symmetry = F-43m
VASP energy = -6.55 eV/atom

***

(2)
DFT (PBE) results for a geometry-optimized FeBN2 structure.

Geometry as CIF:
```
data_FeBN2
_chemical_formula_sum 'Fe2 B2 N4'
_symmetry_space_group_name_H-M 'P 1'
_symmetry_Int_Tables_number 1
_symmetry_space_group_name_Hall 'P 1'
_cell_length_a 4.1280
_cell_length_b 4.1280
_cell_length_c 4.6303
_cell_angle_alpha 63.53
_cell_angle_beta 63.53
_cell_angle_gamma 90.00
loop_
_atom_site_label
_atom_site_type_symbol
_atom_site_fract_x
_atom_site_fract_y
_atom_site_fract_z
N1 N 0.8750 0.8101 0.7500
N2 N 0.1899 0.6250 0.2500
N3 N 0.5601 0.1250 0.2500
Fe1 Fe 0.0000 0.0000 0.0000
Fe2 Fe 0.7500 0.2500 0.5000
N4 N 0.3750 0.4399 0.7500
B1 B 0.5000 0.5000 0.0000
B2 B 0.2500 0.7500 0.5000
```

symmetry = I-42d
VASP energy = -8.26 eV/atom
formation energy (no corrections) = -0.308 eV per atom